Crystalline YCrHg at its relaxed geometry. Source: the Alexandria database, functional PBE.

a b c (Å): 4.824 4.824 4.824
angles (deg): 60.00 60.00 60.00
Last column: magnetic moment on the atom in μB.
Fractional coordinates of all 3 atoms:
Hg1 0.750 0.750 0.750  -0.07
Y1 0.000 0.000 0.000  -0.17
Cr1 0.500 0.500 0.500  3.73

## Properties
* DFT formation energy: 0.3309 eV per atom
* density of states at the Fermi level: 1.20 states/eV/atom
* VASP energy: -5.132 eV/atom